84
Lattice="10.258 0.008 -0.014 1.714 10.140 -0.004 -3.428 -4.624 8.512" Properties=species:S:1:pos:R:3 comment="PBE+U Zn11Fe25O48, optimized geometry" energy_ev_per_cell=-494.5 pbc="T T T"
O 0.100 0.769 4.639
O 0.947 3.222 3.047
O 9.383 4.316 1.039
O 2.485 4.906 6.870
O -0.782 1.148 7.448
O 6.870 5.725 1.903
O 2.646 8.189 0.248
O 0.947 6.128 4.625
O 4.344 -1.409 5.975
O 6.982 3.133 0.384
O 7.602 -0.583 3.907
O 1.859 5.734 1.887
O 4.177 6.972 2.515
O -0.753 -1.683 5.883
O 7.551 2.285 5.399
O 8.395 -0.513 0.948
O 0.747 -2.906 8.122
O 5.294 3.460 6.073
O 5.888 -2.663 8.289
O 6.077 5.819 4.546
O 1.703 8.309 3.358
O 3.433 -0.449 0.892
O 9.383 7.217 2.615
O 3.288 2.090 2.352
O 7.551 4.665 6.692
O 3.407 -4.128 7.601
O 8.412 4.639 3.903
O 7.779 8.446 0.308
O 2.461 -0.310 4.020
O 1.574 -2.813 5.201
O 5.121 0.792 4.761
O 6.058 0.676 1.595
O 4.177 4.534 1.190
O 1.718 -0.206 6.536
O 8.578 2.069 2.284
O 3.371 4.721 3.752
O 6.864 -2.745 5.181
O 1.703 3.098 0.527
O 6.077 3.457 3.262
O 4.351 0.958 7.265
O 0.037 3.396 6.191
O 1.586 2.323 8.167
O 6.681 -0.218 6.620
O 5.268 -1.730 3.254
O 6.750 2.427 7.975
O 2.485 2.004 5.294
O 0.961 0.902 1.775
O -1.614 -4.013 7.553
Zn 8.521 1.158 4.065
Zn 3.410 -3.165 5.843
Zn 5.124 1.742 2.997
Zn -0.004 -0.837 1.613
Zn 3.399 -1.421 2.658
Zn 6.876 6.678 0.149
Zn 6.807 -3.743 6.915
Zn -1.718 -0.601 7.254
Zn 1.685 -1.159 8.313
Zn 0.050 4.352 4.431
Zn 3.410 3.772 5.499
Fe 5.956 1.621 6.346
Fe 0.014 2.590 1.408
Fe 0.846 -1.010 4.938
Fe 5.980 -0.982 4.948
Fe 2.561 6.535 3.555
Fe 1.692 1.450 3.536
Fe 2.561 3.898 2.123
Fe 2.560 1.328 0.696
Fe 8.519 2.918 7.070
Fe 3.443 6.364 0.727
Fe 6.844 -1.135 2.102
Fe 3.419 0.297 5.643
Fe 5.956 4.232 7.764
Fe 5.130 -0.848 7.770
Fe -1.700 -2.294 4.268
Fe 6.824 4.055 4.978
Fe 1.705 -4.598 8.496
Fe 0.859 1.572 6.378
Fe 7.718 6.531 3.580
Fe -0.022 -3.458 6.382
Fe 5.121 5.204 2.862
Fe 0.859 4.231 7.823
Fe 7.694 1.306 0.678
Fe 7.718 3.880 2.140
Fe 10.268 6.089 1.234